LiNbV2O6 | GGA+U | optimized geometry

Values from the calculation:
total energy = -7.442 eV/atom
total magnetic moment = 3.99 μB/f.u.

Unit cell a=4.925 b=4.925 c=5.061 alpha=90.00 beta=90.00 gamma=90.00
Element x y z (fractional)
Li1 0.000 0.000 0.000
Nb1 0.500 0.500 0.026
V1 0.000 0.500 0.408
V2 0.500 0.000 0.408
O1 0.000 0.000 0.628
O2 0.250 0.250 0.196
O3 0.250 0.750 0.196
O4 0.500 0.500 0.652
O5 0.750 0.250 0.196
O6 0.750 0.750 0.196